Material: K2V3PbF12
Method: DFT, GGA+U
State: optimized geometry

## Properties
The value obtained for the energy is -5.59 eV per atom. The magnetization comes out at 21.00 μB per cell.

Unit cell a=7.6694 b=7.6694 c=17.6806 alpha=90.00 beta=90.00 gamma=120.00
Space group R-3m (No. 166, hexagonal axes)
Unique sites:
1 K 0.0000 0.0000 0.1255 [6 per cell]
2 V 0.0000 0.5000 0.0000 [9 per cell]
3 Pb 0.0000 0.0000 0.5000 [3 per cell]
4 F 0.0213 0.5106 0.8877 [18 per cell]
5 F 0.0761 0.5381 0.3224 [18 per cell]